(1)
DFT (PBE) results for an optimized crystal structure of PmZnNiAg.

Results
Symmetry ... F-43m (216)
Total energy ... -15.2 eV for the cell shown
Calculated volume ... 19.1 A^3/atom

Unit cell a=4.760 b=4.760 c=4.760 alpha=60.00 beta=60.00 gamma=60.00
Sites, in units of the cell vectors:
Pm (0.000, 0.000, 0.000)
Zn (0.500, 0.500, 0.500)
Ni (0.750, 0.750, 0.750)
Ag (0.250, 0.250, 0.250)



(2)
DFT (PBE) results for an optimized crystal structure of TbY3Ho2Bi6.

Results
Symmetry ... C2/m (12)
Total energy ... -67.0 eV for the cell shown
Calculated volume ... 31.7 A^3/atom

Unit cell a=7.757 b=7.757 c=7.751 alpha=99.59 beta=99.59 gamma=120.00
Sites, in units of the cell vectors:
Tb (0.000, 0.000, 0.000)
Y (0.166, 0.834, 0.500)
Y (0.500, 0.500, 0.500)
Y (0.834, 0.166, 0.500)
Ho (0.333, 0.667, 0.000)
Ho (0.667, 0.333, 0.000)
Bi (0.083, 0.418, 0.249)
Bi (0.252, 0.252, 0.751)
Bi (0.418, 0.083, 0.249)
Bi (0.582, 0.917, 0.751)
Bi (0.748, 0.748, 0.249)
Bi (0.917, 0.582, 0.751)